<one>
# Nd4MgRu | Alexandria via LeMat-Bulk | GGA-PBE | optimized geometry
data_Nd4MgRu
_chemical_formula_sum 'Nd16 Mg4 Ru4'
_space_group_name_H-M_alt 'C 1 2/m 1'
_space_group_IT_number 12
_cell_length_a 16.814
_cell_length_b 7.584
_cell_length_c 6.176
_cell_angle_alpha 90.00
_cell_angle_beta 111.47
_cell_angle_gamma 90.00
loop_
_space_group_symop_operation_xyz
'x,y,z'
'-x,-y,-z'
'-x,y,-z'
'x,-y,z'
'x+1/2,y+1/2,z'
'-x+1/2,-y+1/2,-z'
'-x+1/2,y+1/2,-z'
'x+1/2,-y+1/2,z'
loop_
_atom_site_label
_atom_site_fract_x
_atom_site_fract_y
_atom_site_fract_z
Nd1 0.000 0.207 0.000
Nd2 0.118 0.255 0.617
Nd3 0.179 0.500 0.178
Mg1 0.196 0.000 0.197
Ru1 0.000 0.500 0.259
# Density   6.4 Mg/m³
# Total magnetic moment   0.0 Bohr magnetons per cell

<two>
# Nd4MgRu | Alexandria via LeMat-Bulk | GGA-PBE | optimized geometry
data_Nd4MgRu
_chemical_formula_sum 'Nd64 Mg16 Ru16'
_space_group_name_H-M_alt 'F -4 3 m'
_space_group_IT_number 216
_space_group_name_Hall 'F -4 2 3'
_cell_length_a 14.133
_cell_length_b 14.133
_cell_length_c 14.133
_cell_angle_alpha 90.00
_cell_angle_beta 90.00
_cell_angle_gamma 90.00
loop_
_atom_site_label
_atom_site_fract_x
_atom_site_fract_y
_atom_site_fract_z
Nd1 0.000 0.000 0.188
Nd2 0.061 0.250 0.250
Nd3 0.094 0.094 0.594
Mg1 0.172 0.172 0.828
Ru1 0.112 0.112 0.388
# Density   6.6 Mg/m³
# Total magnetic moment   0.0 Bohr magnetons per cell

Stability, highest: <two>

<one>
# Nd6MgRu2 | Alexandria via LeMat-Bulk | GGA-PBE | optimized geometry
data_Nd6MgRu2
_chemical_formula_sum 'Nd24 Mg4 Ru8'
_space_group_name_H-M_alt 'I m m m'
_space_group_IT_number 71
_space_group_name_Hall '-I 2 2'
_cell_length_a 9.705
_cell_length_b 9.983
_cell_length_c 10.721
_cell_angle_alpha 90.00
_cell_angle_beta 90.00
_cell_angle_gamma 90.00
loop_
_atom_site_label
_atom_site_fract_x
_atom_site_fract_y
_atom_site_fract_z
Nd1 0.000 0.203 0.238
Nd2 0.185 0.500 0.176
Nd3 0.215 0.317 0.500
Mg1 0.000 0.000 0.000
Mg2 0.000 0.000 0.500
Ru1 0.000 0.314 0.000
Ru2 0.000 0.500 0.376
# Density   7.0 Mg/m³
# Total magnetic moment   0.0 Bohr magnetons per cell

<two>
# Nd6MgRu2 | Alexandria via LeMat-Bulk | GGA-PBE | optimized geometry
data_Nd6MgRu2
_chemical_formula_sum 'Nd12 Mg2 Ru4'
_space_group_name_H-M_alt 'C 1 2/m 1'
_space_group_IT_number 12
_cell_length_a 10.445
_cell_length_b 5.269
_cell_length_c 9.410
_cell_angle_alpha 90.00
_cell_angle_beta 101.88
_cell_angle_gamma 90.00
loop_
_space_group_symop_operation_xyz
'x,y,z'
'-x,-y,-z'
'-x,y,-z'
'x,-y,z'
'x+1/2,y+1/2,z'
'-x+1/2,-y+1/2,-z'
'-x+1/2,y+1/2,-z'
'x+1/2,-y+1/2,z'
loop_
_atom_site_label
_atom_site_fract_x
_atom_site_fract_y
_atom_site_fract_z
Nd1 0.039 0.000 0.349
Nd2 0.159 0.500 0.880
Nd3 0.208 0.500 0.335
Mg1 0.000 0.000 0.000
Ru1 0.112 0.500 0.595
# Density   7.2 Mg/m³
# Total magnetic moment   0.0 Bohr magnetons per cell

Stability, highest: <one>

<one>
# Nd2MgS | Alexandria via LeMat-Bulk | GGA-PBE | optimized geometry
data_Nd2MgS
_chemical_formula_sum 'Nd6 Mg3 S3'
_space_group_name_H-M_alt 'R -3 m'
_space_group_IT_number 166
_space_group_name_Hall '-R 3 2"'
_cell_length_a 3.8377
_cell_length_b 3.8377
_cell_length_c 30.2847
_cell_angle_alpha 90.00
_cell_angle_beta 90.00
_cell_angle_gamma 120.00
loop_
_atom_site_label
_atom_site_fract_x
_atom_site_fract_y
_atom_site_fract_z
Nd1 0.0000 0.0000 0.1113
Mg1 0.0000 0.0000 0.0000
S1 0.0000 0.0000 0.5000
# Density   4.4 Mg/m³
# Total magnetic moment   0.0 Bohr magnetons per cell

<two>
# Nd2MgS | Alexandria via LeMat-Bulk | GGA-PBE | optimized geometry
data_Nd2MgS
_chemical_formula_sum 'Nd6 Mg3 S3'
_space_group_name_H-M_alt 'R 3 m'
_space_group_IT_number 160
_space_group_name_Hall 'R 3 -2"'
_cell_length_a 3.9467
_cell_length_b 3.9467
_cell_length_c 25.9306
_cell_angle_alpha 90.00
_cell_angle_beta 90.00
_cell_angle_gamma 120.00
loop_
_atom_site_label
_atom_site_fract_x
_atom_site_fract_y
_atom_site_fract_z
Nd1 0.0000 0.0000 0.0000
Nd2 0.0000 0.0000 0.2059
Mg1 0.0000 0.0000 0.4360
S1 0.0000 0.0000 0.6037
# Density   4.9 Mg/m³
# Total magnetic moment   0.0 Bohr magnetons per cell

Stability, highest: <two>

<one>
# NdMgS2 | Alexandria via LeMat-Bulk | GGA-PBE | optimized geometry
data_NdMgS2
_chemical_formula_sum 'Nd3 Mg3 S6'
_space_group_name_H-M_alt 'R -3 m'
_space_group_IT_number 166
_space_group_name_Hall '-R 3 2"'
_cell_length_a 3.8181
_cell_length_b 3.8181
_cell_length_c 19.8983
_cell_angle_alpha 90.00
_cell_angle_beta 90.00
_cell_angle_gamma 120.00
loop_
_atom_site_label
_atom_site_fract_x
_atom_site_fract_y
_atom_site_fract_z
Nd1 0.0000 0.0000 0.0000
Mg1 0.0000 0.0000 0.5000
S1 0.0000 0.0000 0.2392
# Density   4.6 Mg/m³
# Total magnetic moment   0.0 Bohr magnetons per cell

<two>
# NdMgS2 | Alexandria via LeMat-Bulk | GGA-PBE | optimized geometry
data_NdMgS2
_chemical_formula_sum 'Nd3 Mg3 S6'
_space_group_name_H-M_alt 'R 3 m'
_space_group_IT_number 160
_space_group_name_Hall 'R 3 -2"'
_cell_length_a 3.8154
_cell_length_b 3.8154
_cell_length_c 20.2262
_cell_angle_alpha 90.00
_cell_angle_beta 90.00
_cell_angle_gamma 120.00
loop_
_atom_site_label
_atom_site_fract_x
_atom_site_fract_y
_atom_site_fract_z
Nd1 0.0000 0.0000 0.0000
Mg1 0.0000 0.0000 0.8309
S1 0.0000 0.0000 0.2393
S2 0.0000 0.0000 0.4279
# Density   4.5 Mg/m³
# Total magnetic moment   2.7 Bohr magnetons per cell

Stability, highest: <one>

<one>
# NdMgSb2 | Alexandria via LeMat-Bulk | GGA-PBE | optimized geometry
data_NdMgSb2
_chemical_formula_sum 'Nd1 Mg1 Sb2'
_space_group_name_H-M_alt 'P 4/m m m'
_space_group_IT_number 123
_space_group_name_Hall '-P 4 2'
_cell_length_a 5.044
_cell_length_b 5.044
_cell_length_c 4.211
_cell_angle_alpha 90.00
_cell_angle_beta 90.00
_cell_angle_gamma 90.00
loop_
_atom_site_label
_atom_site_fract_x
_atom_site_fract_y
_atom_site_fract_z
Nd1 0.000 0.000 0.000
Mg1 0.500 0.500 0.000
Sb1 0.000 0.500 0.500
# Density   6.4 Mg/m³
# Total magnetic moment   0.0 Bohr magnetons per cell

<two>
# NdMgSb2 | Alexandria via LeMat-Bulk | GGA-PBE | optimized geometry
data_NdMgSb2
_chemical_formula_sum 'Nd3 Mg3 Sb6'
_space_group_name_H-M_alt 'R -3 m'
_space_group_IT_number 166
_space_group_name_Hall '-R 3 2"'
_cell_length_a 4.4991
_cell_length_b 4.4991
_cell_length_c 20.4696
_cell_angle_alpha 90.00
_cell_angle_beta 90.00
_cell_angle_gamma 120.00
loop_
_atom_site_label
_atom_site_fract_x
_atom_site_fract_y
_atom_site_fract_z
Nd1 0.0000 0.0000 0.0000
Mg1 0.0000 0.0000 0.5000
Sb1 0.0000 0.0000 0.2433
# Density   5.7 Mg/m³
# Total magnetic moment   0.0 Bohr magnetons per cell

<three>
# NdMgSb2 | Alexandria via LeMat-Bulk | GGA-PBE | optimized geometry
data_NdMgSb2
_chemical_formula_sum 'Nd2 Mg2 Sb4'
_space_group_name_H-M_alt 'P 4/n m m'
_space_group_IT_number 129
_cell_length_a 4.435
_cell_length_b 4.435
_cell_length_c 11.097
_cell_angle_alpha 90.00
_cell_angle_beta 90.00
_cell_angle_gamma 90.00
loop_
_space_group_symop_operation_xyz
'x,y,z'
'-x,-y,-z'
'-y+1/2,x,z'
'y+1/2,-x,-z'
'-x+1/2,-y+1/2,z'
'x+1/2,y+1/2,-z'
'y,-x+1/2,z'
'-y,x+1/2,-z'
'x+1/2,-y,-z'
'-x+1/2,y,z'
'-y,-x,-z'
'y,x,z'
'-x,y+1/2,-z'
'x,-y+1/2,z'
'y+1/2,x+1/2,-z'
'-y+1/2,-x+1/2,z'
loop_
_atom_site_label
_atom_site_fract_x
_atom_site_fract_y
_atom_site_fract_z
Nd1 0.250 0.250 0.219
Mg1 0.250 0.750 0.500
Sb1 0.250 0.250 0.675
Sb2 0.250 0.750 0.000
# Density   6.3 Mg/m³
# Total magnetic moment   0.0 Bohr magnetons per cell

Stability, highest: <three>